(1)
{"formula": "V2CdReC", "functional": "PBE", "state": "relaxed", "magnetic_moment_mub_per_cell": 0.0, "dft_energy_ev_per_atom": -5.78, "e_form_ev_per_atom": 2.38, "volume_a3_per_atom": 21.2, "lattice_angstrom": [[4.5101, 0.0000, 0.0000], [0.0000, 4.5101, 0.0000], [0.0000, 0.0000, 5.2044]], "species": ["V", "V", "Cd", "Re", "C"], "frac_coords": [[0.0000, 0.5000, 0.0000], [0.5000, 0.0000, 0.0000], [0.0000, 0.0000, 0.5000], [0.0000, 0.0000, 0.0000], [0.5000, 0.5000, 0.5000]]}

(2)
{"formula": "CrPRu", "functional": "PBE", "state": "relaxed", "magnetic_moment_mub_per_cell": 0.3, "dft_energy_ev_per_atom": -8.43, "e_form_ev_per_atom": -0.33, "volume_a3_per_atom": 12.5, "lattice_angstrom": [[13.1461, 0.0000, 0.0000], [0.0000, 2.9860, 0.0000], [-0.8022, 0.0000, 3.8275]], "species": ["Cr", "Cr", "Cr", "Cr", "P", "P", "P", "P", "Ru", "Ru", "Ru", "Ru"], "frac_coords": [[0.0000, 0.0000, 0.0000], [0.0153, 0.5000, 0.5190], [0.5000, 0.5000, 0.0000], [0.5153, 0.0000, 0.5190], [0.1475, 0.5000, 0.2317], [0.3699, 0.0000, 0.9149], [0.6475, 0.0000, 0.2317], [0.8699, 0.5000, 0.9149], [0.1919, 0.0000, 0.8200], [0.3345, 0.5000, 0.3966], [0.6919, 0.5000, 0.8200], [0.8345, 0.0000, 0.3966]]}

(3)
{"formula": "Zr6Os5Pd", "functional": "PBE", "state": "relaxed", "magnetic_moment_mub_per_cell": 0.0, "dft_energy_ev_per_atom": -9.91, "e_form_ev_per_atom": -0.52, "volume_a3_per_atom": 17.9, "lattice_angstrom": [[7.3908, -3.2786, 0.0000], [7.3908, 3.2786, 0.0000], [-1.4745, 0.0000, 4.4378]], "species": ["Zr", "Zr", "Zr", "Zr", "Zr", "Zr", "Os", "Os", "Os", "Os", "Os", "Pd"], "frac_coords": [[0.0814, 0.5829, 0.3321], [0.2475, 0.7525, 0.0000], [0.4171, 0.9186, 0.6679], [0.5829, 0.0814, 0.3321], [0.7525, 0.2475, 0.0000], [0.9186, 0.4171, 0.6679], [0.0000, 0.0000, 0.5000], [0.1659, 0.1659, 0.1660], [0.3327, 0.3327, 0.8326], [0.6673, 0.6673, 0.1674], [0.8341, 0.8341, 0.8340], [0.5000, 0.5000, 0.5000]]}

(4)
{"formula": "HoP2IrRu", "functional": "PBE", "state": "relaxed", "magnetic_moment_mub_per_cell": 0.0, "dft_energy_ev_per_atom": -7.67, "e_form_ev_per_atom": -0.96, "volume_a3_per_atom": 15.6, "lattice_angstrom": [[4.0176, 0.0000, 0.0000], [0.0000, 4.0176, 0.0000], [0.0000, 0.0000, 9.6934]], "species": ["Ho", "Ho", "P", "P", "P", "P", "Ir", "Ir", "Ru", "Ru"], "frac_coords": [[0.0000, 0.0000, 0.0000], [0.5000, 0.5000, 0.5000], [0.0000, 0.0000, 0.3826], [0.0000, 0.0000, 0.6174], [0.5000, 0.5000, 0.1174], [0.5000, 0.5000, 0.8826], [0.0000, 0.5000, 0.2500], [0.5000, 0.0000, 0.7500], [0.0000, 0.5000, 0.7500], [0.5000, 0.0000, 0.2500]]}

(5)
{"formula": "AlNi", "functional": "PBE", "state": "relaxed", "magnetic_moment_mub_per_cell": 0.0, "dft_energy_ev_per_atom": -4.90, "e_form_ev_per_atom": -0.14, "volume_a3_per_atom": 13.9, "lattice_angstrom": [[4.7786, 0.0000, 0.0000], [0.0000, 4.7786, 0.0000], [0.0000, 0.0000, 4.8662]], "species": ["Al", "Al", "Al", "Al", "Ni", "Ni", "Ni", "Ni"], "frac_coords": [[0.1972, 0.1972, 0.0000], [0.3028, 0.6972, 0.5000], [0.6972, 0.3028, 0.5000], [0.8028, 0.8028, 0.0000], [0.1910, 0.1910, 0.5000], [0.3090, 0.6910, 0.0000], [0.6910, 0.3090, 0.0000], [0.8090, 0.8090, 0.5000]]}

(6)
{"formula": "La2Cu2O5", "functional": "PBE", "state": "relaxed", "magnetic_moment_mub_per_cell": 0.0, "dft_energy_ev_per_atom": -6.92, "volume_a3_per_atom": 14.3, "formation_energy_uncorrected_ev_per_atom": -2.16, "lattice_angstrom": [[6.5599, -2.0477, 0.0000], [6.5599, 2.0477, 0.0000], [-1.7352, 0.0000, 4.7862]], "species": ["La", "La", "Cu", "Cu", "O", "O", "O", "O", "O"], "frac_coords": [[0.1189, 0.1189, 0.3213], [0.8811, 0.8811, 0.6787], [0.4054, 0.4054, 0.2119], [0.5946, 0.5946, 0.7881], [0.0879, 0.0879, 0.7909], [0.3149, 0.3149, 0.4282], [0.5000, 0.5000, 0.0000], [0.6851, 0.6851, 0.5718], [0.9121, 0.9121, 0.2091]]}

(7)
{"formula": "Tl2CdBi2Pb", "functional": "PBE", "state": "relaxed", "magnetic_moment_mub_per_cell": 0.0, "dft_energy_ev_per_atom": -2.86, "e_form_ev_per_atom": -0.01, "volume_a3_per_atom": 32.3, "lattice_angstrom": [[5.1690, 0.0000, 0.0000], [0.0000, 9.8144, 0.0000], [0.0000, 0.0000, 7.6343]], "species": ["Tl", "Tl", "Tl", "Tl", "Cd", "Cd", "Bi", "Bi", "Bi", "Bi", "Pb", "Pb"], "frac_coords": [[0.0000, 0.0651, 0.0000], [0.0000, 0.9349, 0.5000], [0.5000, 0.1703, 0.2951], [0.5000, 0.8297, 0.7951], [0.0000, 0.3125, 0.6116], [0.0000, 0.6875, 0.1116], [0.0000, 0.3792, 0.2126], [0.0000, 0.6208, 0.7126], [0.5000, 0.1734, 0.7325], [0.5000, 0.8266, 0.2325], [0.5000, 0.4622, 0.9355], [0.5000, 0.5378, 0.4355]]}

(8)
{"formula": "HfRuSeBr2", "functional": "PBE", "state": "relaxed", "magnetic_moment_mub_per_cell": 3.0, "dft_energy_ev_per_atom": -4.90, "volume_a3_per_atom": 28.3, "formation_energy_uncorrected_ev_per_atom": 0.32, "lattice_angstrom": [[5.2314, 0.0000, 0.0000], [0.0000, 5.2314, 0.0000], [0.0000, 0.0000, 5.1634]], "species": ["Hf", "Ru", "Se", "Br", "Br"], "frac_coords": [[0.0000, 0.0000, 0.0000], [0.5000, 0.5000, 0.5000], [0.0000, 0.0000, 0.5000], [0.0000, 0.5000, 0.0000], [0.5000, 0.0000, 0.0000]]}

(9)
{"formula": "KCo2Ru", "functional": "PBE", "state": "relaxed", "magnetic_moment_mub_per_cell": 10.4, "dft_energy_ev_per_atom": -5.29, "e_form_ev_per_atom": 0.86, "volume_a3_per_atom": 15.8, "lattice_angstrom": [[2.7360, 0.0000, 0.0000], [-1.3680, 2.3695, 0.0000], [0.0000, 0.0000, 29.1604]], "species": ["K", "K", "K", "Co", "Co", "Co", "Co", "Co", "Co", "Ru", "Ru", "Ru"], "frac_coords": [[0.0000, 0.0000, 0.0000], [0.3333, 0.6667, 0.6667], [0.6667, 0.3333, 0.3333], [0.0000, 0.0000, 0.2358], [0.0000, 0.0000, 0.7642], [0.3333, 0.6667, 0.4309], [0.3333, 0.6667, 0.9025], [0.6667, 0.3333, 0.0975], [0.6667, 0.3333, 0.5691], [0.0000, 0.0000, 0.5000], [0.3333, 0.6667, 0.1667], [0.6667, 0.3333, 0.8333]]}

(10)
{"formula": "NbV2Pt2", "functional": "PBE", "state": "relaxed", "magnetic_moment_mub_per_cell": 0.0, "dft_energy_ev_per_atom": -8.44, "e_form_ev_per_atom": -0.36, "volume_a3_per_atom": 15.6, "lattice_angstrom": [[7.5877, 0.0000, 0.0000], [0.0000, 7.5877, 0.0000], [0.0000, 0.0000, 2.7116]], "species": ["Nb", "Nb", "V", "V", "V", "V", "Pt", "Pt", "Pt", "Pt"], "frac_coords": [[0.0000, 0.0000, 0.0000], [0.5000, 0.5000, 0.0000], [0.1686, 0.3314, 0.5000], [0.3314, 0.8314, 0.5000], [0.6686, 0.1686, 0.5000], [0.8314, 0.6686, 0.5000], [0.1287, 0.6287, 0.0000], [0.3713, 0.1287, 0.0000], [0.6287, 0.8713, 0.0000], [0.8713, 0.3713, 0.0000]]}

(11)
{"formula": "K3Al2As4", "functional": "PBE", "state": "relaxed", "magnetic_moment_mub_per_cell": 0.0, "dft_energy_ev_per_atom": -3.76, "e_form_ev_per_atom": -0.49, "volume_a3_per_atom": 28.1, "lattice_angstrom": [[8.6554, -2.0454, 0.0000], [8.6554, 2.0454, 0.0000], [-3.1767, 0.0000, 7.1446]], "species": ["K", "K", "K", "Al", "Al", "As", "As", "As", "As"], "frac_coords": [[0.0000, 0.0000, 0.0000], [0.1474, 0.1474, 0.7652], [0.8526, 0.8526, 0.2348], [0.3258, 0.3258, 0.5816], [0.6742, 0.6742, 0.4184], [0.2037, 0.2037, 0.2616], [0.4814, 0.4814, 0.6320], [0.5186, 0.5186, 0.3680], [0.7963, 0.7963, 0.7384]]}

(12)
{"formula": "CeY2Cu6", "functional": "PBE", "state": "relaxed", "magnetic_moment_mub_per_cell": 0.8, "dft_energy_ev_per_atom": -5.04, "e_form_ev_per_atom": -0.21, "volume_a3_per_atom": 18.7, "lattice_angstrom": [[7.3859, 0.0000, 0.0000], [-3.6929, 6.3964, 0.0000], [0.0000, 0.0000, 3.5712]], "species": ["Ce", "Y", "Y", "Cu", "Cu", "Cu", "Cu", "Cu", "Cu"], "frac_coords": [[0.0000, 0.0000, 0.0000], [0.3333, 0.6667, 0.0000], [0.6667, 0.3333, 0.0000], [0.0000, 0.3343, 0.5000], [0.0000, 0.6657, 0.5000], [0.3343, 0.0000, 0.5000], [0.3343, 0.3343, 0.5000], [0.6657, 0.0000, 0.5000], [0.6657, 0.6657, 0.5000]]}

Question: Which formula does entry 7 have?
Answer: Tl2CdBi2Pb

Repeat the fourth record exactly.
{"formula": "HoP2IrRu", "functional": "PBE", "state": "relaxed", "magnetic_moment_mub_per_cell": 0.0, "dft_energy_ev_per_atom": -7.67, "e_form_ev_per_atom": -0.96, "volume_a3_per_atom": 15.6, "lattice_angstrom": [[4.0176, 0.0000, 0.0000], [0.0000, 4.0176, 0.0000], [0.0000, 0.0000, 9.6934]], "species": ["Ho", "Ho", "P", "P", "P", "P", "Ir", "Ir", "Ru", "Ru"], "frac_coords": [[0.0000, 0.0000, 0.0000], [0.5000, 0.5000, 0.5000], [0.0000, 0.0000, 0.3826], [0.0000, 0.0000, 0.6174], [0.5000, 0.5000, 0.1174], [0.5000, 0.5000, 0.8826], [0.0000, 0.5000, 0.2500], [0.5000, 0.0000, 0.7500], [0.0000, 0.5000, 0.7500], [0.5000, 0.0000, 0.2500]]}